[1]
Below is a relaxed structure of Ca2Pr2GaPd4, with properties calculated at the GGA-PBE level.

Values from the calculation:
Fermi-level density of states	12.4	states/eV/cell
ρ	6.47	Mg/m³
raw total energy	-4.57	eV/atom

a b c (Å): 7.1101 7.1101 8.7028
angles (deg): 90.00 90.00 90.00
With the nearest neighbours (Å) after each atom.
Space group I4/mmm (No. 139)
Asymmetric unit:
1 Ca 0.0000 0.5000 0.2500  8 Pd 3.32, 4 Pr 3.61
2 Pr 0.0000 0.0000 0.1781  1 Ga 2.80, 4 Pd 2.98, 1 Pr 3.10
3 Ga 0.0000 0.0000 0.5000  4 Pd 2.48
4 Pd 0.2467 0.2467 0.5000  1 Ga 2.48

---

[2]
Below is a relaxed structure of PmNd3N3, with properties calculated at the GGA-PBE level.

Values from the calculation:
energy above the most stable polymorph in this dataset	0	meV per atom
Fermi-level density of states	3.2	states/eV/cell
ρ	7.58	Mg/m³
uncorrected formation energy	-770	kJ/mol of formula units

a b c (Å): 5.1406 5.1406 5.1406
angles (deg): 90.00 90.00 90.00
With the nearest neighbours (Å) after each atom.
Space group Pm-3m (No. 221)
Asymmetric unit:
1 Pm 0.0000 0.0000 0.0000  6 N 2.57
2 Nd 0.0000 0.5000 0.5000  4 N 2.57
3 N 0.0000 0.0000 0.5000  4 Nd 2.57, 2 Pm 2.57

---

[3]
Below is a relaxed structure of H3PdRh3, with properties calculated at the GGA-PBE level.

Values from the calculation:
Fermi-level density of states	20.9	states/eV/cell
ρ	9.96	Mg/m³
raw total energy	-5.16	eV/atom

a b c (Å): 5.1857 5.1857 5.1857
angles (deg): 90.00 90.00 90.00
With the nearest neighbours (Å) after each atom.
Space group Pm-3n (No. 223)
Asymmetric unit:
1 H 0.0000 0.2500 0.5000  4 Rh 1.83
2 Pd 0.0000 0.0000 0.0000  12 H 2.90, 12 Rh 2.90
3 Rh 0.0000 0.5000 0.2500  4 H 1.83

---

[4]
Below is a relaxed structure of Ce4ErSe6, with properties calculated at the GGA-PBE level.

Values from the calculation:
Fermi-level density of states	176.0	states/eV/cell
ρ	6.92	Mg/m³
uncorrected formation energy	-1814	kJ/mol of formula units

a b c (Å): 11.8516 11.8516 14.2164
angles (deg): 90.00 90.00 120.00
With the nearest neighbours (Å) after each atom.
Space group R-3c (No. 167, hexagonal axes)
Asymmetric unit:
1 Ce 0.0000 0.0000 0.2500  6 Se 2.98
2 Ce 0.0000 0.3839 0.2500  8 Se 3.03-3.26
3 Er 0.0000 0.0000 0.0000  6 Se 2.77
4 Se 0.0296 0.2034 0.3864  1 Er 2.77, 2 Ce 2.98-3.03

---

[5]
Below is a relaxed structure of Pm2Si3Ge, with properties calculated at the GGA-PBE level.

Values from the calculation:
Fermi-level density of states	2.9	states/eV/cell
ρ	5.86	Mg/m³
uncorrected formation energy	-328	kJ/mol of formula units

a b c (Å): 3.9760 4.1390 7.7009
angles (deg): 90.00 90.00 90.00
With the nearest neighbours (Å) after each atom.
Space group Pmm2 (No. 25)
Asymmetric unit:
1 Pm 0.0000 0.0000 0.0000  10 Si 3.11-3.23, 2 Ge 3.37
2 Pm 0.5000 0.0000 0.4806  8 Si 3.12-3.48, 4 Ge 3.17
3 Si 0.0000 0.5000 0.3225  2 Si 2.36, 1 Ge 2.56
4 Si 0.5000 0.5000 0.1563  3 Si 2.36-2.41
5 Si 0.5000 0.5000 0.8433  1 Si 2.41, 2 Ge 2.46
6 Ge 0.0000 0.5000 0.6548  3 Si 2.46-2.56

---

[6]
Below is a relaxed structure of NaCd2SnPd, with properties calculated at the GGA-PBE level.

Values from the calculation:
Fermi-level density of states	1.7	states/eV/cell
ρ	5.57	Mg/m³
raw total energy	-2.59	eV/atom

a b c (Å): 5.2597 5.2597 5.0996
angles (deg): 90.00 90.00 90.00
With the nearest neighbours (Å) after each atom.
Space group P4/mmm (No. 123)
Asymmetric unit:
1 Na 0.0000 0.0000 0.0000  8 Cd 3.66, 4 Sn 3.72
2 Cd 0.0000 0.5000 0.5000  2 Pd 2.63
3 Sn 0.5000 0.5000 0.0000  2 Pd 2.55
4 Pd 0.5000 0.5000 0.5000  2 Sn 2.55, 4 Cd 2.63

---

no.,volume (Å³/atom)
1,24.44
2,19.41
3,9.96
4,26.20
5,21.12
6,28.22